1.
Compound: Hf3Si3Ni2
Source: Alexandria
Functional: meta-GGA SCAN
Structure: single point on PBEsol structure

abc: 3.811 5.226 12.803
angles: 90.00 90.00 111.38
Fractional coordinates of all 16 atoms:
Hf: 0.865 0.731 0.250
Hf: 0.135 0.269 0.750
Hf: 0.427 0.854 0.882
Hf: 0.573 0.146 0.118
Hf: 0.573 0.146 0.382
Hf: 0.427 0.854 0.618
Si: 0.159 0.319 0.250
Si: 0.841 0.681 0.750
Si: 0.112 0.224 0.959
Si: 0.888 0.776 0.041
Si: 0.888 0.776 0.459
Si: 0.112 0.224 0.541
Ni: 0.719 0.438 0.589
Ni: 0.281 0.562 0.411
Ni: 0.281 0.562 0.089
Ni: 0.719 0.438 0.911

Results
The size of the total moment is 0.00 μB/f.u. The calculation puts the raw total energy at -515.11 eV per cell. The value obtained for the energy relative to the elements, uncorrected is -0.89 eV per atom.

=====

2.
Compound: ReHg2Pb
Source: Alexandria
Functional: meta-GGA SCAN
Structure: single point on PBEsol structure

abc: 2.996 5.213 5.213
angles: 90.00 90.00 90.00
Fractional coordinates of all 4 atoms:
Hg: 0.000 0.000 0.500
Hg: 0.000 0.500 0.000
Pb: 0.500 0.500 0.500
Re: 0.500 0.000 0.000

Results
The size of the total moment is 0.00 μB/f.u. The calculation puts the raw total energy at -279.24 eV per cell. The energy of formation from the pure elements comes out at 4.0 eV/f.u.

=====

3.
Compound: Li2InIr
Source: Alexandria
Functional: meta-GGA SCAN
Structure: single point on PBEsol structure

abc: 3.829 3.829 4.124
angles: 90.00 90.00 90.00
Fractional coordinates of all 4 atoms:
Ir: 0.000 0.000 0.500
In: 0.500 0.500 0.500
Li: 0.000 0.500 0.000
Li: 0.500 0.000 0.000

Results
The size of the total moment is 0.00 μB/f.u. The calculation puts the raw total energy at -110.22 eV per cell. The energy of formation from the pure elements comes out at -1.0 eV/f.u.

=====

4.
Compound: MnZn2Co
Source: Alexandria
Functional: meta-GGA SCAN
Structure: single point on PBEsol structure

abc: 2.970 2.970 5.477
angles: 90.00 90.00 90.00
Last column: magnetic moment on the atom in μB.
Fractional coordinates of all 4 atoms:
Zn: 0.000 0.000 0.763  -0.08
Zn: 0.000 0.000 0.237  -0.08
Mn: 0.500 0.500 0.500  3.67
Co: 0.500 0.500 0.000  1.35

Results
The size of the total moment is 4.89 μB/f.u. The calculation puts the raw total energy at -62.85 eV per cell. The calculation puts the energy above the lowest structure with this stoichiometry at 0.1196 eV per atom. The energy of formation from the pure elements comes out at -0.3 eV/f.u.

=====

5.
Compound: ScTeSN2
Source: Alexandria
Functional: meta-GGA SCAN
Structure: single point on PBEsol structure

abc: 3.897 3.897 4.943
angles: 90.00 90.00 90.00
Last column: magnetic moment on the atom in μB.
Fractional coordinates of all 5 atoms:
Sc: 0.500 0.500 0.500  -0.11
S: 0.000 0.000 0.000  -0.02
Te: 0.000 0.000 0.500  0.02
N: 0.000 0.500 0.000  0.47
N: 0.500 0.000 0.000  0.47

Results
The size of the total moment is 1.09 μB/f.u. The calculation puts the raw total energy at -74.27 eV per cell. The value obtained for the energy relative to the elements, uncorrected is 1.09 eV per atom.

=====

6.
Compound: Mo2AsW
Source: Alexandria
Functional: meta-GGA SCAN
Structure: single point on PBEsol structure

abc: 3.136 4.391 4.391
angles: 90.06 90.00 90.00
Fractional coordinates of all 4 atoms:
Mo: 0.000 0.500 0.000
Mo: 0.000 0.000 0.500
As: 0.500 0.500 0.500
W: 0.500 0.000 0.000

Results
The size of the total moment is 0.00 μB/f.u. The calculation puts the raw total energy at -158.89 eV per cell. The energy of formation from the pure elements comes out at 0.8 eV/f.u.

=====

7.
Compound: BaCr10O15
Source: Alexandria
Functional: meta-GGA SCAN
Structure: single point on PBEsol structure

abc: 7.600 7.600 9.284
angles: 90.00 90.00 97.22
Last column: magnetic moment on the atom in μB.
Fractional coordinates of all 52 atoms:
Ba: 0.000 0.000 0.500  0.01
Ba: 0.500 0.500 0.000  0.01
Cr: 0.908 0.419 0.883  2.53
Cr: 0.592 0.081 0.383  2.53
Cr: 0.919 0.408 0.617  2.53
Cr: 0.581 0.092 0.117  2.53
Cr: 0.092 0.581 0.117  2.53
Cr: 0.408 0.919 0.617  2.53
Cr: 0.081 0.592 0.383  2.53
Cr: 0.419 0.908 0.883  2.53
Cr: 0.041 0.786 0.857  2.79
Cr: 0.459 0.714 0.357  2.79
Cr: 0.286 0.541 0.643  2.79
Cr: 0.214 0.959 0.143  2.79
Cr: 0.959 0.214 0.143  2.79
Cr: 0.541 0.286 0.643  2.79
Cr: 0.714 0.459 0.357  2.79
Cr: 0.786 0.041 0.857  2.79
Cr: 0.819 0.819 0.135  2.80
Cr: 0.681 0.681 0.635  2.80
Cr: 0.319 0.319 0.365  2.80
Cr: 0.181 0.181 0.865  2.80
O: 0.500 0.500 0.500  0.04
O: 0.000 0.000 0.000  0.04
O: 0.153 0.153 0.261  0.04
O: 0.347 0.347 0.761  0.04
O: 0.653 0.653 0.239  0.04
O: 0.847 0.847 0.739  0.04
O: 0.961 0.218 0.758  0.03
O: 0.539 0.282 0.258  0.03
O: 0.718 0.461 0.742  0.03
O: 0.782 0.039 0.242  0.03
O: 0.039 0.782 0.242  0.03
O: 0.461 0.718 0.742  0.03
O: 0.282 0.539 0.258  0.03
O: 0.218 0.961 0.758  0.03
O: 0.070 0.570 0.750  0.03
O: 0.430 0.930 0.250  0.03
O: 0.930 0.430 0.250  0.03
O: 0.570 0.070 0.750  0.03
O: 0.109 0.363 0.004  0.04
O: 0.391 0.137 0.504  0.04
O: 0.863 0.609 0.496  0.04
O: 0.637 0.891 0.996  0.04
O: 0.240 0.760 0.000  0.05
O: 0.260 0.740 0.500  0.05
O: 0.760 0.240 0.000  0.05
O: 0.740 0.260 0.500  0.05
O: 0.363 0.109 0.004  0.04
O: 0.137 0.391 0.504  0.04
O: 0.609 0.863 0.496  0.04
O: 0.891 0.637 0.996  0.04

Results
The size of the total moment is 28.31 μB/f.u. The calculation puts the raw total energy at -763.75 eV per cell. The value obtained for the energy relative to the elements, uncorrected is -2.50 eV per atom.

=====

8.
Compound: TcIrRh2
Source: Alexandria
Functional: meta-GGA SCAN
Structure: single point on PBEsol structure

abc: 2.668 2.668 7.684
angles: 90.00 90.00 90.00
Fractional coordinates of all 4 atoms:
Ir: 0.500 0.500 0.500
Rh: 0.000 0.000 0.753
Rh: 0.000 0.000 0.247
Tc: 0.500 0.500 0.000

Results
The size of the total moment is 0.00 μB/f.u. The calculation puts the raw total energy at -173.96 eV per cell. The calculation puts the energy above the lowest structure with this stoichiometry at 0.0725 eV per atom. The energy of formation from the pure elements comes out at -0.3 eV/f.u.

=====

9.
Compound: BeNbRh
Source: Alexandria
Functional: meta-GGA SCAN
Structure: single point on PBEsol structure

abc: 4.679 4.679 4.679
angles: 75.76 74.97 119.65
Fractional coordinates of all 6 atoms:
Be: 0.500 0.589 0.911
Be: 0.000 0.089 0.911
Nb: 0.402 0.987 0.111
Nb: 0.598 0.487 0.415
Rh: 0.913 0.159 0.428
Rh: 0.087 0.659 0.754

Results
The size of the total moment is 0.00 μB/f.u. The calculation puts the raw total energy at -145.72 eV per cell. The energy of formation from the pure elements comes out at -1.6 eV/f.u.

=====

10.
Compound: CuAsAu2Br
Source: Alexandria
Functional: meta-GGA SCAN
Structure: single point on PBEsol structure

abc: 4.336 4.915 4.915
angles: 90.00 90.00 90.00
Fractional coordinates of all 5 atoms:
As: 0.500 0.000 0.000
Au: 0.000 0.000 0.500
Au: 0.000 0.500 0.000
Cu: 0.000 0.000 0.000
Br: 0.500 0.500 0.500

Results
The size of the total moment is 0.00 μB/f.u. The calculation puts the raw total energy at -190.31 eV per cell. The value obtained for the energy relative to the elements, uncorrected is 0.57 eV per atom.

=====

11.
Compound: HIrOs2Se
Source: Alexandria
Functional: meta-GGA SCAN
Structure: single point on PBEsol structure

abc: 3.176 4.810 4.810
angles: 90.00 90.00 90.00
Fractional coordinates of all 5 atoms:
H: 0.500 0.000 0.000
Ir: 0.000 0.000 0.000
Os: 0.000 0.000 0.500
Os: 0.000 0.500 0.000
Se: 0.500 0.500 0.500

Results
The size of the total moment is 0.00 μB/f.u. The calculation puts the raw total energy at -231.45 eV per cell.

=====

12.
Compound: YCd3Ni
Source: Alexandria
Functional: meta-GGA SCAN
Structure: single point on PBEsol structure

abc: 4.810 4.810 4.810
angles: 90.00 90.00 90.00
Fractional coordinates of all 5 atoms:
Y: 0.500 0.500 0.500
Ni: 0.000 0.000 0.000
Cd: 0.000 0.500 0.000
Cd: 0.000 0.000 0.500
Cd: 0.500 0.000 0.000

Results
The size of the total moment is 0.00 μB/f.u. The calculation puts the raw total energy at -135.33 eV per cell. The energy of formation from the pure elements comes out at -0.1 eV/f.u.

=====

- Look up the size of the total moment of the sixth one.
  0.00 μB/f.u.

=====

Copy entry 6 word for word.
Compound: Mo2AsW
Source: Alexandria
Functional: meta-GGA SCAN
Structure: single point on PBEsol structure

abc: 3.136 4.391 4.391
angles: 90.06 90.00 90.00
Fractional coordinates of all 4 atoms:
Mo: 0.000 0.500 0.000
Mo: 0.000 0.000 0.500
As: 0.500 0.500 0.500
W: 0.500 0.000 0.000

Results
The size of the total moment is 0.00 μB/f.u. The calculation puts the raw total energy at -158.89 eV per cell. The energy of formation from the pure elements comes out at 0.8 eV/f.u.

=====

- Which formula does entry 9 have?
  BeNbRh